# 1
Computed, not measured: CaSm3Y6Er2 after structural relaxation at the GGA-PBE level of DFT.

a b c (Å): 6.239 6.239 11.898
angles (deg): 95.01 95.01 119.99
Sites, in units of the cell vectors:
Ca: 0.000 0.000 0.000
Sm: 0.165 0.835 0.500
Sm: 0.500 0.500 0.500
Sm: 0.835 0.165 0.500
Y: 0.084 0.423 0.251
Y: 0.255 0.255 0.749
Y: 0.423 0.084 0.251
Y: 0.577 0.916 0.749
Y: 0.745 0.745 0.251
Y: 0.916 0.577 0.749
Er: 0.333 0.667 0.000
Er: 0.667 0.333 0.000

Computed properties:
ΔH_f (0 K), meV per atom: 55.3
Symmetry: C2/m (12)
DOS(E_F), states/eV/f.u.: 20.38

# 2
Computed, not measured: Li2Sc2Bi after structural relaxation at the GGA-PBE level of DFT.

a b c (Å): 6.906 6.906 4.410
angles (deg): 90.00 90.00 90.00
Sites, in units of the cell vectors:
Li: 0.130 0.370 0.000
Li: 0.370 0.870 0.000
Li: 0.630 0.130 0.000
Li: 0.870 0.630 0.000
Sc: 0.169 0.669 0.500
Sc: 0.331 0.169 0.500
Sc: 0.669 0.831 0.500
Sc: 0.831 0.331 0.500
Bi: 0.000 0.000 0.000
Bi: 0.500 0.500 0.000

Computed properties:
E above lowest polymorph, meV/atom: 0.0
ΔH_f (0 K), meV per atom: -171.6
Symmetry: P4/mbm (127)
DOS(E_F), states/eV/f.u.: 5.14

# 3
Computed, not measured: Ca3Ga3Hg after structural relaxation at the GGA-PBE level of DFT.

a b c (Å): 6.031 6.031 14.908
angles (deg): 108.18 108.18 44.49
Sites, in units of the cell vectors:
Ca: 0.034 0.034 0.380
Ca: 0.110 0.110 0.925
Ca: 0.240 0.240 0.224
Ca: 0.760 0.760 0.776
Ca: 0.890 0.890 0.075
Ca: 0.966 0.966 0.620
Ga: 0.377 0.377 0.458
Ga: 0.400 0.400 0.924
Ga: 0.472 0.472 0.775
Ga: 0.528 0.528 0.225
Ga: 0.600 0.600 0.076
Ga: 0.623 0.623 0.542
Hg: 0.256 0.256 0.610
Hg: 0.744 0.744 0.390

Computed properties:
ΔH_f (0 K), meV per atom: -465.0
Symmetry: C2/m (12)
DOS(E_F), states/eV/f.u.: 4.40

# 4
Computed, not measured: AlSb3P after structural relaxation at the GGA-PBE level of DFT.

a b c (Å): 5.216 5.216 5.216
angles (deg): 90.00 90.00 90.00
Sites, in units of the cell vectors:
Al: 0.000 0.000 0.000
Sb: 0.000 0.500 0.500
Sb: 0.500 0.000 0.500
Sb: 0.500 0.500 0.000
P: 0.500 0.500 0.500

Computed properties:
E above lowest polymorph, meV/atom: 0.0
Symmetry: Pm-3m (221)
DOS(E_F), states/eV/f.u.: 5.16
Formation energy (no corrections), eV/atom: 0.658